[1]
## BaSiN2O (GGA-PBE)

Data for crystalline BaSiN2O at its relaxed geometry.

abc: 3.7610 3.7610 4.2386
angles: 90.00 90.00 90.00
Element x y z (fractional)
1 Ba 0.0000 0.0000 0.0000
2 Si 0.5000 0.5000 0.5000
3 N 0.0000 0.5000 0.5000
4 N 0.5000 0.0000 0.5000
5 O 0.5000 0.5000 0.0000

Computed properties:
- formation energy without anion corrections (eV/atom) = -0.658
- crystal system = tetragonal
- SG = No. 123
- total magnetization (μB per atom) = 0.217

---

[2]
## SrB2SbSe (GGA-PBE)

Data for crystalline SrB2SbSe at its relaxed geometry.

abc: 4.5170 4.5170 5.6061
angles: 90.00 90.00 90.00
Element x y z (fractional)
1 Sr 0.0000 0.0000 0.0000
2 B 0.0000 0.5000 0.5000
3 B 0.5000 0.0000 0.5000
4 Sb 0.5000 0.5000 0.0000
5 Se 0.5000 0.5000 0.5000

Computed properties:
- formation energy without anion corrections (eV/atom) = 1.127
- crystal system = tetragonal
- SG = No. 123
- total magnetization (μB per atom) = 0.000

---

[3]
## TeAsSeI2 (GGA-PBE)

Data for crystalline TeAsSeI2 at its relaxed geometry.

abc: 5.5335 5.5335 5.7550
angles: 90.00 90.00 90.00
Element x y z (fractional)
1 Te 0.0000 0.0000 0.0000
2 As 0.0000 0.0000 0.5000
3 Se 0.5000 0.5000 0.0000
4 I 0.0000 0.5000 0.5000
5 I 0.5000 0.0000 0.5000

Computed properties:
- formation energy without anion corrections (eV/atom) = 0.565
- polymorph energy (0 for the lowest one) (meV/atom) = 0.0
- crystal system = tetragonal
- SG = No. 123
- total magnetization (μB per atom) = 0.227

---

[4]
## TiGe2Rh (GGA-PBE)

Data for crystalline TiGe2Rh at its relaxed geometry.

abc: 4.4313 4.4313 4.4313
angles: 60.00 60.00 60.00
Element x y z (fractional)
1 Ti 0.0000 0.0000 0.0000
2 Ge 0.2500 0.2500 0.2500
3 Ge 0.7500 0.7500 0.7500
4 Rh 0.5000 0.5000 0.5000

Computed properties:
- crystal system = cubic
- SG = No. 225
- total magnetization (μB per atom) = 0.298
- E_form (kJ/mol of atoms) = -34

---

[5]
## Er2Zn2Cu (GGA-PBE)

Data for crystalline Er2Zn2Cu at its relaxed geometry.

abc: 5.3928 5.3928 10.4498
angles: 113.40 113.40 48.05
Element x y z (fractional)
1 Er 0.0127 0.0127 0.3344
2 Er 0.1956 0.1956 0.1115
3 Er 0.8044 0.8044 0.8885
4 Er 0.9873 0.9873 0.6656
5 Zn 0.3537 0.3537 0.4360
6 Zn 0.4892 0.4892 0.1162
7 Zn 0.5108 0.5108 0.8838
8 Zn 0.6463 0.6463 0.5640
9 Cu 0.2756 0.2756 0.6547
10 Cu 0.7244 0.7244 0.3453

Computed properties:
- crystal system = monoclinic
- SG = No. 12
- total magnetization (μB per atom) = 0.000
- E_form (kJ/mol of atoms) = -30

---

[6]
## KNi2Hg (GGA-PBE)

Data for crystalline KNi2Hg at its relaxed geometry.

abc: 2.8695 3.7770 7.8306
angles: 90.00 99.61 90.00
Element x y z (fractional)
1 K 0.0000 0.0000 0.0000
2 Ni 0.2376 0.0000 0.3907
3 Ni 0.7084 0.5000 0.3345
4 Hg 0.3435 0.5000 0.6523

Computed properties:
- crystal system = monoclinic
- SG = No. 6
- total magnetization (μB per atom) = 0.000
- E_form (kJ/mol of atoms) = 32

---

[7]
## LiCa4Pb3 (GGA-PBE)

Data for crystalline LiCa4Pb3 at its relaxed geometry.

abc: 9.6652 9.6652 9.6652
angles: 33.04 33.04 33.04
Element x y z (fractional)
1 Li 0.0000 0.0000 0.0000
2 Ca 0.1275 0.1275 0.1275
3 Ca 0.3791 0.3791 0.3791
4 Ca 0.6209 0.6209 0.6209
5 Ca 0.8725 0.8725 0.8725
6 Pb 0.2592 0.2592 0.2592
7 Pb 0.5000 0.5000 0.5000
8 Pb 0.7408 0.7408 0.7408

Computed properties:
- crystal system = trigonal
- SG = No. 166
- total magnetization (μB per atom) = 0.000
- E_form (kJ/mol of atoms) = -44

---

[8]
## Pm6Ni2HBr3 (GGA-PBE)

Data for crystalline Pm6Ni2HBr3 at its relaxed geometry.

abc: 6.9527 6.9527 7.8934
angles: 98.40 98.40 120.15
Element x y z (fractional)
1 Pm 0.0957 0.4343 0.8051
2 Pm 0.2249 0.2249 0.1912
3 Pm 0.4343 0.0957 0.8051
4 Pm 0.5657 0.9043 0.1949
5 Pm 0.7751 0.7751 0.8088
6 Pm 0.9043 0.5657 0.1949
7 Ni 0.1675 0.8325 0.0000
8 Ni 0.8325 0.1675 0.0000
9 H 0.5000 0.5000 0.0000
10 Br 0.0000 0.0000 0.5000
11 Br 0.3331 0.6669 0.5000
12 Br 0.6669 0.3331 0.5000

Computed properties:
- electronic total energy (eV/atom) = -4.7950
- crystal system = monoclinic
- SG = No. 12
- total magnetization (μB per atom) = 0.000

---

[9]
## RbPdBr2 (GGA-PBE)

Data for crystalline RbPdBr2 at its relaxed geometry.

abc: 8.5667 8.5667 8.5667
angles: 134.59 134.59 66.16
Element x y z (fractional)
1 Rb 0.0000 0.0000 0.0000
2 Rb 0.7500 0.2500 0.5000
3 Pd 0.2500 0.7500 0.5000
4 Pd 0.5000 0.5000 0.0000
5 Br 0.2313 0.6250 0.1063
6 Br 0.3750 0.4813 0.6063
7 Br 0.5187 0.1250 0.8937
8 Br 0.8750 0.7687 0.3937

Computed properties:
- formation energy without anion corrections (eV/atom) = -0.721
- polymorph energy (0 for the lowest one) (meV/atom) = 0.0
- crystal system = tetragonal
- SG = No. 122
- total magnetization (μB per atom) = 0.250

---

[10]
## Pr3ErSi4 (GGA-PBE)

Data for crystalline Pr3ErSi4 at its relaxed geometry.

abc: 8.8897 8.8897 8.8897
angles: 152.27 138.67 50.50
Element x y z (fractional)
1 Pr 0.0000 0.0000 0.0000
2 Pr 0.3066 0.8066 0.5000
3 Pr 0.6934 0.1934 0.5000
4 Er 0.5000 0.5000 0.0000
5 Si 0.0568 0.3710 0.6858
6 Si 0.3147 0.6290 0.6858
7 Si 0.6853 0.3710 0.3142
8 Si 0.9432 0.6290 0.3142

Computed properties:
- formation energy without anion corrections (eV/atom) = -0.551
- crystal system = orthorhombic
- SG = No. 71
- total magnetization (μB per atom) = 0.000

---

[11]
## LiDyTmPt (GGA-PBE)

Data for crystalline LiDyTmPt at its relaxed geometry.

abc: 4.9421 4.9421 4.9421
angles: 60.00 60.00 60.00
Element x y z (fractional)
1 Li 0.0000 0.0000 0.0000
2 Dy 0.7500 0.7500 0.7500
3 Tm 0.2500 0.2500 0.2500
4 Pt 0.5000 0.5000 0.5000

Computed properties:
- crystal system = cubic
- SG = No. 216
- total magnetization (μB per atom) = 0.000
- E_form (kJ/mol of atoms) = -67

---

[12]
## Pr2TeCl (GGA-PBE)

Data for crystalline Pr2TeCl at its relaxed geometry.

abc: 5.3523 5.3523 5.3523
angles: 60.00 60.00 60.00
Element x y z (fractional)
1 Pr 0.2500 0.2500 0.2500
2 Pr 0.7500 0.7500 0.7500
3 Te 0.0000 0.0000 0.0000
4 Cl 0.5000 0.5000 0.5000

Computed properties:
- formation energy without anion corrections (eV/atom) = -1.337
- polymorph energy (0 for the lowest one) (meV/atom) = 27.1
- crystal system = cubic
- SG = No. 225
- total magnetization (μB per atom) = 0.000

---

[13]
## Li7Mg3Ga2 (GGA-PBE)

Data for crystalline Li7Mg3Ga2 at its relaxed geometry.

abc: 4.6484 3.0991 15.9411
angles: 90.00 97.72 90.00
Element x y z (fractional)
1 Li 0.0000 0.0000 0.0000
2 Li 0.1031 0.5000 0.1833
3 Li 0.2714 0.5000 0.5448
4 Li 0.4105 0.0000 0.8487
5 Li 0.5895 0.0000 0.1513
6 Li 0.7286 0.5000 0.4552
7 Li 0.8969 0.5000 0.8167
8 Mg 0.1823 0.0000 0.3576
9 Mg 0.5000 0.5000 0.0000
10 Mg 0.8177 0.0000 0.6424
11 Ga 0.3490 0.5000 0.7118
12 Ga 0.6510 0.5000 0.2882

Computed properties:
- crystal system = monoclinic
- SG = No. 10
- total magnetization (μB per atom) = 0.000
- E_form (kJ/mol of atoms) = -9

---

[14]
## BaSrY2Co (GGA-PBE)

Data for crystalline BaSrY2Co at its relaxed geometry.

abc: 5.3821 5.3821 6.1284
angles: 90.00 90.00 90.00
Element x y z (fractional)
1 Ba 0.0000 0.0000 0.0000
2 Sr 0.5000 0.5000 0.0000
3 Y 0.0000 0.5000 0.5000
4 Y 0.5000 0.0000 0.5000
5 Co 0.5000 0.5000 0.5000

Computed properties:
- crystal system = tetragonal
- SG = No. 123
- total magnetization (μB per atom) = 0.000
- E_form (kJ/mol of atoms) = 7